Here is a PBEsol-optimized structure of ZnCo6Mo from Alexandria. Energies are from SCAN.

As for the calculated volume: 10.996 A^3/atom. The calculation puts the raw total energy at -1208.26 eV/cell. The value obtained for the formation energy is 0.1492 eV/atom.

It has space group Cmmm (No. 65), with a = 7.045 Å, b = 9.994 Å, c = 9.996 Å, α = 90.00°, β = 90.00° and γ = 90.00°. Symmetry generates all atoms from Zn at (0.000, 0.000, 0.249), Zn at (0.000, 0.253, 0.500), Co at (0.000, 0.000, 0.000), Co at (0.000, 0.000, 0.500), Co at (0.000, 0.250, 0.249), Co at (0.000, 0.500, 0.000), Co at (0.000, 0.500, 0.500), Co at (0.248, 0.126, 0.375), Co at (0.250, 0.125, 0.124), Mo at (0.000, 0.255, 0.000) and Mo at (0.000, 0.500, 0.252).